The following is a PBE calculation of a relaxed CsErGeI6 crystal, from Alexandria via LeMat-Bulk.

The space group is P312 (No. 149) and the conventional cell measures 7.8389, 7.8389 and 8.7043 Å, with angles of 90.00, 90.00 and 120.00 degrees. Symmetry generates all atoms from Cs at (0.0000, 0.0000, 0.0000), Er at (0.6667, 0.3333, 0.5000), Ge at (0.3333, 0.6667, 0.5000) and I at (0.3722, 0.0011, 0.7000).

Its uncorrected formation energy is -1.08 eV/atom.


The following is a PBE calculation of a relaxed Rb2CdPt crystal, from Alexandria via LeMat-Bulk.

The space group is I-42d (No. 122) and the conventional cell measures 11.684, 11.684 and 5.396 Å, with angles of 90.00, 90.00 and 90.00 degrees. Symmetry generates all atoms from Rb at (0.101, 0.750, 0.125), Cd at (0.000, 0.000, 0.500) and Pt at (0.000, 0.000, 0.000).

The calculation puts the calculated formation energy at -0.019 eV per atom.


Number 1: magnetic moment 0.00 μB/cell, total DFT energy (no corrections) -3.23 eV per atom. Number 2: magnetic moment 0.00 μB/cell, total DFT energy (no corrections) -2.24 eV per atom.